Compound: FeOs2Rh
Source: Alexandria via LeMat-Bulk
Functional: GGA-PBE
Structure: relaxed

Output
* theoretical density: 15.79 g/cm³
* energy above the lowest structure with this stoichiometry: 123 kJ/mol of formula units
* energy of formation: 0.40 eV/atom
* symmetry: Pmmm, No. 47

a b c (Å): 2.7434 4.5282 4.5656
angles (deg): 90.00 90.00 90.00
Atoms (fractional coordinates):
1 Fe 0.0000 0.0000 0.0000
2 Os 0.0000 0.5000 0.5000
3 Os 0.5000 0.0000 0.5000
4 Rh 0.5000 0.5000 0.0000

---

Compound: Ba2Ag2Sn
Source: Alexandria via LeMat-Bulk
Functional: GGA-PBE
Structure: relaxed

Output
* theoretical density: 6.36 g/cm³
* energy above the lowest structure with this stoichiometry: 0 kJ/mol of formula units
* energy of formation: -0.43 eV/atom
* symmetry: C2/c, No. 15

a b c (Å): 6.3928 6.3928 9.2629
angles (deg): 102.77 102.77 60.29
Atoms (fractional coordinates):
1 Ba 0.0063 0.2930 0.1505
2 Ba 0.2930 0.0063 0.6505
3 Ba 0.7070 0.9937 0.3495
4 Ba 0.9937 0.7070 0.8495
5 Ag 0.2322 0.4960 0.5059
6 Ag 0.4960 0.2322 0.0059
7 Ag 0.5040 0.7678 0.9941
8 Ag 0.7678 0.5040 0.4941
9 Sn 0.3411 0.6589 0.2500
10 Sn 0.6589 0.3411 0.7500

---

Compound: Li2InSi2Pd5
Source: Alexandria via LeMat-Bulk
Functional: GGA-PBE
Structure: relaxed

Output
* theoretical density: 7.31 g/cm³
* uncorrected formation energy: -0.57 eV/atom
* symmetry: P4/mbm, No. 127

a b c (Å): 9.6814 9.6814 3.4734
angles (deg): 90.00 90.00 90.00
Atoms (fractional coordinates):
1 Li 0.1717 0.3283 0.0000
2 Li 0.3283 0.8283 0.0000
3 Li 0.6717 0.1717 0.0000
4 Li 0.8283 0.6717 0.0000
5 In 0.0000 0.0000 0.0000
6 In 0.5000 0.5000 0.0000
7 Si 0.1260 0.6260 0.0000
8 Si 0.3740 0.1260 0.0000
9 Si 0.6260 0.8740 0.0000
10 Si 0.8740 0.3740 0.0000
11 Pd 0.0000 0.5000 0.5000
12 Pd 0.0740 0.7892 0.5000
13 Pd 0.2108 0.0740 0.5000
14 Pd 0.2892 0.5740 0.5000
15 Pd 0.4260 0.2892 0.5000
16 Pd 0.5000 0.0000 0.5000
17 Pd 0.5740 0.7108 0.5000
18 Pd 0.7108 0.4260 0.5000
19 Pd 0.7892 0.9260 0.5000
20 Pd 0.9260 0.2108 0.5000

---

Compound: SrTc2Ag
Source: Alexandria via LeMat-Bulk
Functional: GGA-PBE
Structure: relaxed

Output
* theoretical density: 8.58 g/cm³
* energy above the lowest structure with this stoichiometry: 178 kJ/mol of formula units
* energy of formation: 0.80 eV/atom
* symmetry: F-43m, No. 216

a b c (Å): 4.7505 4.7505 4.7505
angles (deg): 60.00 60.00 60.00
Atoms (fractional coordinates):
1 Sr 0.0000 0.0000 0.0000
2 Tc 0.2500 0.2500 0.2500
3 Tc 0.5000 0.5000 0.5000
4 Ag 0.7500 0.7500 0.7500

---

Compound: Rb3PmDy3Te8
Source: Alexandria via LeMat-Bulk
Functional: GGA-PBE
Structure: relaxed

Output
* theoretical density: 5.28 g/cm³
* uncorrected formation energy: -1.32 eV/atom
* symmetry: R-3m, No. 166

a b c (Å): 10.1902 10.1902 10.1902
angles (deg): 51.64 51.64 51.64
Atoms (fractional coordinates):
1 Rb 0.0000 0.5000 0.5000
2 Rb 0.5000 0.0000 0.5000
3 Rb 0.5000 0.5000 0.0000
4 Pm 0.5000 0.5000 0.5000
5 Dy 0.0000 0.0000 0.5000
6 Dy 0.0000 0.5000 0.0000
7 Dy 0.5000 0.0000 0.0000
8 Te 0.2253 0.7381 0.7381
9 Te 0.2332 0.2332 0.2332
10 Te 0.2619 0.2619 0.7747
11 Te 0.2619 0.7747 0.2619
12 Te 0.7381 0.2253 0.7381
13 Te 0.7381 0.7381 0.2253
14 Te 0.7668 0.7668 0.7668
15 Te 0.7747 0.2619 0.2619

---

Compound: Cd2TcMo
Source: Alexandria via LeMat-Bulk
Functional: GGA-PBE
Structure: relaxed

Output
* theoretical density: 9.95 g/cm³
* energy above the lowest structure with this stoichiometry: 135 kJ/mol of formula units
* energy of formation: 0.54 eV/atom
* symmetry: Pmmm, No. 47

a b c (Å): 2.7692 4.6300 5.4481
angles (deg): 90.00 90.00 90.00
Atoms (fractional coordinates):
1 Cd 0.0000 0.0000 0.2489
2 Cd 0.0000 0.0000 0.7511
3 Tc 0.5000 0.5000 0.0000
4 Mo 0.5000 0.5000 0.5000

---

Compound: La2DyEr5
Source: Alexandria via LeMat-Bulk
Functional: GGA-PBE
Structure: relaxed

Output
* theoretical density: 8.21 g/cm³
* energy above the lowest structure with this stoichiometry: 0 kJ/mol of formula units
* energy of formation: 0.03 eV/atom
* symmetry: I4/mmm, No. 139

a b c (Å): 10.6130 10.6130 10.6130
angles (deg): 152.28 152.28 39.60
Atoms (fractional coordinates):
1 La 0.2502 0.2502 0.0000
2 La 0.7498 0.7498 0.0000
3 Dy 0.0000 0.0000 0.0000
4 Er 0.1214 0.6214 0.5000
5 Er 0.3786 0.8786 0.5000
6 Er 0.5000 0.5000 0.0000
7 Er 0.6214 0.1214 0.5000
8 Er 0.8786 0.3786 0.5000

---

Compound: ErInGa2Pd2
Source: Alexandria via LeMat-Bulk
Functional: GGA-PBE
Structure: relaxed

Output
* theoretical density: 9.35 g/cm³
* energy of formation: -0.64 eV/atom
* symmetry: P-3m1, No. 164

a b c (Å): 4.4449 4.4449 6.5868
angles (deg): 90.00 90.00 120.00
Atoms (fractional coordinates):
1 Er 0.0000 0.0000 0.0000
2 In 0.0000 0.0000 0.5000
3 Ga 0.3333 0.6667 0.2443
4 Ga 0.6667 0.3333 0.7557
5 Pd 0.3333 0.6667 0.7133
6 Pd 0.6667 0.3333 0.2867

---

Compound: Na2SrPt
Source: Alexandria via LeMat-Bulk
Functional: GGA-PBE
Structure: relaxed

Output
* theoretical density: 4.11 g/cm³
* energy above the lowest structure with this stoichiometry: 198 kJ/mol of formula units
* energy of formation: 0.34 eV/atom
* symmetry: R-3m, No. 166

a b c (Å): 11.9280 11.9280 11.9280
angles (deg): 17.42 17.42 17.42
Atoms (fractional coordinates):
1 Na 0.1097 0.1097 0.1097
2 Na 0.8903 0.8903 0.8903
3 Sr 0.0000 0.0000 0.0000
4 Pt 0.5000 0.5000 0.5000

---

Compound: Sr3Ni2P3
Source: Alexandria via LeMat-Bulk
Functional: GGA-PBE
Structure: relaxed

Output
* theoretical density: 4.61 g/cm³
* energy above the lowest structure with this stoichiometry: 27 kJ/mol of formula units
* energy of formation: -0.80 eV/atom
* symmetry: Cmcm, No. 63

a b c (Å): 6.1109 6.1109 14.4162
angles (deg): 90.00 90.00 140.68
Atoms (fractional coordinates):
1 Sr 0.0754 0.9246 0.6044
2 Sr 0.0754 0.9246 0.8956
3 Sr 0.3525 0.6475 0.7500
4 Sr 0.6475 0.3525 0.2500
5 Sr 0.9246 0.0754 0.1044
6 Sr 0.9246 0.0754 0.3956
7 Ni 0.2234 0.7766 0.0891
8 Ni 0.2234 0.7766 0.4109
9 Ni 0.7766 0.2234 0.5891
10 Ni 0.7766 0.2234 0.9109
11 P 0.3340 0.6660 0.2500
12 P 0.3417 0.6583 0.5438
13 P 0.3417 0.6583 0.9562
14 P 0.6583 0.3417 0.0438
15 P 0.6583 0.3417 0.4562
16 P 0.6660 0.3340 0.7500

---

Compound: BaZnCdIn2
Source: Alexandria via LeMat-Bulk
Functional: GGA-PBE
Structure: relaxed

Output
* theoretical density: 6.37 g/cm³
* energy of formation: -0.29 eV/atom
* symmetry: I-4m2, No. 119

a b c (Å): 6.8296 6.8296 6.8296
angles (deg): 137.83 137.83 61.17
Atoms (fractional coordinates):
1 Ba 0.0000 0.0000 0.0000
2 Zn 0.2500 0.7500 0.5000
3 Cd 0.7500 0.2500 0.5000
4 In 0.3765 0.3765 0.0000
5 In 0.6235 0.6235 0.0000

---

Compound: Tl3In3PbI8
Source: Alexandria via LeMat-Bulk
Functional: GGA-PBE
Structure: relaxed

Output
* theoretical density: 5.17 g/cm³
* uncorrected formation energy: -0.59 eV/atom
* symmetry: C2/m, No. 12

a b c (Å): 9.9283 9.9283 9.9278
angles (deg): 119.44 119.44 60.56
Atoms (fractional coordinates):
1 Tl 0.0000 0.0000 0.0000
2 Tl 0.0000 0.5000 0.5000
3 Tl 0.5000 0.0000 0.5000
4 In 0.0000 0.5000 0.0000
5 In 0.5000 0.0000 0.0000
6 In 0.5000 0.5000 0.5000
7 Pb 0.0000 0.0000 0.5000
8 I 0.2341 0.2341 0.7343
9 I 0.2337 0.7644 0.2671
10 I 0.2356 0.7663 0.7329
11 I 0.2504 0.2504 0.2474
12 I 0.7496 0.7496 0.7526
13 I 0.7644 0.2337 0.2671
14 I 0.7663 0.2356 0.7329
15 I 0.7659 0.7659 0.2657